i) Material: YGaTeI2
Method: DFT, PBE
State: optimized geometry

The structure belongs to space group P4/mmm (No. 123); the cell edges are 6.025, 6.025 and 5.929 Å and the angles 90.00°, 90.00° and 90.00°. The inequivalent atoms are Y at (0.000, 0.000, 0.000), Ga at (0.500, 0.500, 0.500), Te at (0.000, 0.000, 0.500) and I at (0.000, 0.500, 0.000).

***

ii) Material: YGaTeI2
Method: DFT, PBE
State: optimized geometry

The structure belongs to space group P4/mmm (No. 123); the cell edges are 5.525, 5.525 and 5.524 Å and the angles 90.00°, 90.00° and 90.00°. The inequivalent atoms are Y at (0.000, 0.000, 0.000), Ga at (0.500, 0.500, 0.500), Te at (0.500, 0.500, 0.000) and I at (0.000, 0.500, 0.500).

***

Ranked by calculated energy, most stable first: i), ii).

***

i) Material: YGaTe2I
Method: DFT, PBE
State: optimized geometry

The structure belongs to space group P4/mmm (No. 123); the cell edges are 5.461, 5.461 and 5.353 Å and the angles 90.00°, 90.00° and 90.00°. The inequivalent atoms are Y at (0.000, 0.000, 0.000), Ga at (0.500, 0.500, 0.500), Te at (0.000, 0.500, 0.500) and I at (0.500, 0.500, 0.000).

***

ii) Material: YGaTe2I
Method: DFT, PBE
State: optimized geometry

The structure belongs to space group P4/mmm (No. 123); the cell edges are 5.879, 5.879 and 6.075 Å and the angles 90.00°, 90.00° and 90.00°. The inequivalent atoms are Y at (0.000, 0.000, 0.000), Ga at (0.500, 0.500, 0.500), Te at (0.000, 0.500, 0.000) and I at (0.000, 0.000, 0.500).

***

Ranked by calculated energy, most stable first: ii), i).